La3Ga2Hg2: optimized geometry, PBE-GGA.

Cell and atoms, written as POSCAR:
```
La3Ga2Hg2
1.0
4.224 0.000 0.000
-2.112 5.412 -2.431
0.000 -0.017 8.738
La Ga Hg
3 2 2
direct
0.684 0.368 0.654
0.500 0.000 0.000
0.316 0.632 0.346
0.188 0.376 0.944
0.812 0.624 0.056
0.041 0.082 0.337
0.959 0.918 0.663
```

La2GaHg3: optimized geometry, PBE-GGA.

Cell and atoms, written as POSCAR:
```
La2GaHg3
1.0
3.747 0.000 0.000
0.000 4.940 0.000
0.000 0.000 8.547
La Ga Hg
2 1 3
direct
0.000 0.000 0.494
0.000 0.500 0.007
0.500 0.500 0.334
0.500 0.000 0.833
0.500 0.000 0.174
0.500 0.500 0.658
```

La2Ga12Hg: optimized geometry, PBE-GGA.

Cell and atoms, written as POSCAR:
```
La2Ga12Hg
1.0
6.358 0.000 0.000
0.000 6.358 0.000
0.000 0.000 15.672
Ga Hg La
24 2 4
direct
0.826 0.674 0.431
0.174 0.674 0.569
0.251 0.249 0.099
0.251 0.751 0.901
0.326 0.174 0.569
0.749 0.249 0.901
0.500 0.500 0.187
0.674 0.826 0.569
0.000 0.000 0.654
0.000 0.000 0.187
0.174 0.326 0.431
0.826 0.326 0.569
0.674 0.174 0.431
0.749 0.751 0.099
0.249 0.749 0.099
0.000 0.000 0.813
0.500 0.500 0.654
0.751 0.251 0.099
0.326 0.826 0.431
0.000 0.000 0.346
0.751 0.749 0.901
0.249 0.251 0.901
0.500 0.500 0.813
0.500 0.500 0.346
0.000 0.500 0.000
0.500 0.000 0.000
0.000 0.500 0.254
0.500 0.000 0.746
0.500 0.000 0.254
0.000 0.500 0.746
```

La2GaHg: optimized geometry, PBE-GGA.

The energy above the lowest structure with this stoichiometry comes out at 1.49 eV per formula unit.

Cell and atoms, written as POSCAR:
```
La2GaHg
1.0
8.297 0.000 0.000
0.000 8.297 0.000
4.149 4.149 4.037
Ga Hg La
2 2 4
direct
0.250 0.750 0.500
0.500 0.500 0.000
0.750 0.250 0.500
0.000 0.000 0.000
0.375 0.390 0.750
0.875 0.860 0.750
0.140 0.625 0.250
0.610 0.125 0.250
```

La3Ga4Hg2: optimized geometry, PBE-GGA.

Cell and atoms, written as POSCAR:
```
La3Ga4Hg2
1.0
4.622 0.000 0.000
-2.311 5.489 -1.588
0.000 -0.194 9.068
Ga Hg La
4 2 3
direct
0.071 0.143 0.417
0.698 0.396 0.020
0.302 0.604 0.980
0.929 0.857 0.583
0.595 0.191 0.266
0.405 0.809 0.734
0.325 0.651 0.336
0.675 0.349 0.664
0.000 0.000 0.000
```

La2GaHg: optimized geometry, PBE-GGA.

The energy above the lowest structure with this stoichiometry comes out at 0.11 eV per formula unit.

Cell and atoms, written as POSCAR:
```
La2GaHg
1.0
0.000 3.856 3.856
3.856 0.000 3.856
3.856 3.856 0.000
La Ga Hg
2 1 1
direct
0.750 0.750 0.750
0.250 0.250 0.250
0.000 0.000 0.000
0.500 0.500 0.500
```

LaGaHg: optimized geometry, PBE-GGA.

Cell and atoms, written as POSCAR:
```
LaGaHg
1.0
8.724 -0.013 -0.017
1.091 4.266 -0.001
-1.182 0.308 4.292
Hg La Ga
2 2 2
direct
0.180 0.276 0.574
0.679 0.016 0.340
0.849 0.441 0.932
0.348 0.695 0.174
0.006 0.862 0.560
0.507 0.152 0.753
```

La2Ga2Hg: optimized geometry, PBE-GGA.

The energy above the lowest structure with this stoichiometry comes out at 0.00 eV per formula unit.

Cell and atoms, written as POSCAR:
```
La2Ga2Hg
1.0
4.725 0.000 0.000
2.363 5.625 -0.147
2.363 0.593 9.894
La Ga Hg
4 4 2
direct
0.680 0.735 0.904
0.320 0.265 0.096
0.486 0.700 0.329
0.514 0.300 0.671
0.132 0.295 0.441
0.868 0.705 0.559
0.023 0.844 0.110
0.977 0.156 0.890
0.774 0.107 0.345
0.226 0.893 0.655
```

La7Ga2Hg2: optimized geometry, PBE-GGA.

Cell and atoms, written as POSCAR:
```
La7Ga2Hg2
1.0
-4.481 0.621 5.272
2.241 -6.925 2.720
6.050 2.751 2.022
Hg La Ga
2 7 2
direct
0.294 0.000 0.706
0.706 0.000 0.294
0.500 0.703 0.500
0.500 0.297 0.500
0.500 0.694 0.000
0.000 0.000 0.000
0.500 0.306 0.000
0.000 0.306 0.500
0.000 0.694 0.500
0.155 0.500 0.155
0.845 0.500 0.845
```

La2Ga2Hg: optimized geometry, PBE-GGA.

The energy above the lowest structure with this stoichiometry comes out at 0.21 eV per formula unit.

Cell and atoms, written as POSCAR:
```
La2Ga2Hg
1.0
-2.445 -3.120 -6.535
7.241 -1.146 -2.162
-0.061 -4.295 2.073
Ga La Hg
4 4 2
direct
0.628 0.128 0.000
0.128 0.372 0.000
0.372 0.872 0.000
0.872 0.628 0.000
0.328 0.172 0.500
0.828 0.328 0.500
0.672 0.828 0.500
0.172 0.672 0.500
0.500 0.500 0.000
0.000 0.000 0.000
```

LaGa2Hg2: optimized geometry, PBE-GGA.

Cell and atoms, written as POSCAR:
```
LaGa2Hg2
1.0
-1.715 3.346 7.498
-0.591 -7.691 3.296
3.495 0.062 0.772
Hg Ga La
4 4 2
direct
0.626 0.126 0.000
0.126 0.374 0.000
0.874 0.626 0.000
0.374 0.874 0.000
0.678 0.822 0.500
0.178 0.678 0.500
0.322 0.178 0.500
0.822 0.322 0.500
0.500 0.500 0.000
0.000 0.000 0.000
```

LaGaHg: optimized geometry, PBE-GGA.

Cell and atoms, written as POSCAR:
```
LaGaHg
1.0
-4.188 -2.861 -0.579
-4.621 2.154 0.271
-2.849 0.468 -4.210
La Hg Ga
1 1 1
direct
0.500 0.500 0.500
0.750 0.750 0.750
0.250 0.250 0.250
```

no.,spin magnetization (μB/f.u.),energy relative to the elements (eV/atom)
1,0.0,-0.543
2,0.3,-0.510
3,0.0,-0.302
4,0.0,-0.173
5,0.0,-0.589
6,0.6,-0.518
7,0.0,-0.492
8,0.3,-0.576
9,0.0,-0.195
10,0.0,-0.533
11,0.4,-0.170
12,0.0,-0.124